Entry 1:
An optimized crystal structure of BaSbBr2, computed with PBE.

Unit cell a=6.4406 b=6.4406 c=6.4406 alpha=144.54 beta=119.17 gamma=72.43
Last column: nearest neighbours and their distance in Å.
Sites, in units of the cell vectors:
Sb 0.7500 0.2500 0.5000  4 Br 3.20
Br 0.5072 0.5072 0.0000  2 Sb 3.20, 2 Ba 3.32
Br 0.9928 0.9928 0.0000  2 Sb 3.20, 2 Ba 3.32
Ba 0.2500 0.7500 0.5000  4 Br 3.32

The total energy is -3.32 eV per atom. For the density of states at the Fermi level, the calculation gives 0.273 states/eV/atom. As for the energy above the lowest structure with this stoichiometry: 129 meV per atom. As for the space group: Immm (71). For the formation energy from raw total energies, the calculation gives -971 meV/atom.

---

Entry 2:
An optimized crystal structure of KNaMgPb, computed with PBE.

Unit cell a=5.5036 b=5.5036 c=5.5036 alpha=60.00 beta=60.00 gamma=60.00
Last column: nearest neighbours and their distance in Å.
Sites, in units of the cell vectors:
K 0.2500 0.2500 0.2500  4 Mg 3.37, 4 Na 3.37
Pb 0.7500 0.7500 0.7500  4 Na 3.37, 4 Mg 3.37
Na 0.0000 0.0000 0.0000  4 K 3.37, 4 Pb 3.37
Mg 0.5000 0.5000 0.5000  4 Pb 3.37, 4 K 3.37

The total energy is -2.01 eV per atom. For the density of states at the Fermi level, the calculation gives 0.210 states/eV/atom. As for the space group: F-43m (216). The energy of formation from the pure elements is -77 meV per atom.

---

Entry 3:
An optimized crystal structure of Dy2CCl, computed with PBE.

Unit cell a=3.6276 b=3.6276 c=7.2033 alpha=75.42 beta=75.42 gamma=60.00
Last column: nearest neighbours and their distance in Å.
Sites, in units of the cell vectors:
C 0.6682 0.6682 0.9953  6 Dy 2.44-2.48
Dy 0.0623 0.0623 0.8130  3 C 2.44
Dy 0.2708 0.2708 0.1876  3 C 2.48
Cl 0.4986 0.4986 0.5041  6 Dy 2.99-3.02

The total energy is -6.15 eV per atom. For the density of states at the Fermi level, the calculation gives 0.446 states/eV/atom. As for the space group: R3m (160). For the formation energy from raw total energies, the calculation gives -1085 meV/atom.

---

Which magnetic moment belongs to each record? In order, 0.0; 0.0; 0.0 μB/cell.